[1]
Material: Cs7KRb12
Method: DFT, GGA-PBE
State: relaxed

a b c (Å): 23.2582 23.2582 12.8896
angles (deg): 90.00 90.00 120.00
Last column: nearest neighbours and their distance in Å.
Space group R-3 (No. 148, hexagonal axes)
Inequivalent atoms, fractional coordinates:
Cs (0.0000, 0.0000, 0.0000) x3  6 Rb 5.32, 6 Cs 5.56
Cs (0.0135, 0.8460, 0.6818) x18  1 K 4.42, 3 Rb 4.87-4.94
K (0.0000, 0.0000, 0.5000) x3  6 Cs 4.42
Rb (0.0232, 0.7537, 0.3168) x18  4 Cs 4.94-5.28, 6 Rb 5.03-5.43
Rb (0.0707, 0.5120, 0.6699) x18  4 Cs 4.87-5.32, 7 Rb 5.03-5.43

Values from the calculation:
* density: 1646 kg/m³
* calculated formation energy: 0.0280 eV per atom

[2]
Material: ZnIn2MoPd
Method: DFT, GGA-PBE
State: relaxed

a b c (Å): 4.9450 4.9450 4.6653
angles (deg): 90.00 90.00 90.00
Last column: nearest neighbours and their distance in Å.
Space group P4/mmm (No. 123)
Inequivalent atoms, fractional coordinates:
Zn (0.0000, 0.0000, 0.0000) x1  2 Pd 2.33, 4 In 2.47
In (0.0000, 0.5000, 0.0000) x2  2 Zn 2.47
Mo (0.5000, 0.5000, 0.5000) x1  8 In 3.40, 4 Pd 3.50
Pd (0.0000, 0.0000, 0.5000) x1  2 Zn 2.33

Values from the calculation:
* density: 7240 kg/m³
* calculated formation energy: 0.9357 eV per atom

[3]
Material: Rb2TePBr6
Method: DFT, GGA-PBE
State: relaxed

a b c (Å): 7.9143 7.9143 11.1000
angles (deg): 90.00 90.00 90.00
Last column: nearest neighbours and their distance in Å.
Space group I4/mmm (No. 139)
Inequivalent atoms, fractional coordinates:
Rb (0.0000, 0.5000, 0.2500) x4  12 Br 3.95-3.96
Te (0.0000, 0.0000, 0.0000) x2  6 Br 2.94-2.99
P (0.0000, 0.0000, 0.5000) x2  6 Br 2.60-2.61
Br (0.0000, 0.0000, 0.2645) x4  1 P 2.61
Br (0.2327, 0.2327, 0.5000) x8  1 P 2.60

Values from the calculation:
* density: 3864 kg/m³
* uncorrected formation energy: -755.3 meV/atom

[4]
Material: ErGaCu3
Method: DFT, GGA-PBE
State: relaxed

a b c (Å): 5.0028 6.9783 9.2706
angles (deg): 90.00 90.00 90.00
Last column: nearest neighbours and their distance in Å.
Space group Imma (No. 74)
Inequivalent atoms, fractional coordinates:
Er (0.0000, 0.2500, 0.0073) x4  7 Cu 2.82-3.01, 4 Ga 3.05
Ga (0.0000, 0.0000, 0.5000) x4  6 Cu 2.47-2.67
Cu (0.0000, 0.2500, 0.3118) x4  2 Ga 2.47, 6 Cu 2.57-2.75
Cu (0.2500, 0.0617, 0.7500) x8  5 Cu 2.50-2.63, 2 Ga 2.67

Values from the calculation:
* density: 8776 kg/m³
* calculated formation energy: -0.2329 eV per atom
* energy above the most stable polymorph in this dataset: 0.0000 eV per atom

Taking the records one at a time from the top gives calculated total energy values of -0.9062 -3.6193 -2.8077 -4.2086 eV per atom.